Material: La3Mg
Method: DFT, PBE-GGA
State: optimized geometry

a b c (Å): 6.313 6.313 6.313
angles (deg): 132.73 132.73 69.07
Element x y z (fractional)
La 0.000 0.000 0.000
La 0.250 0.750 0.500
La 0.750 0.250 0.500
Mg 0.500 0.500 0.000

Calculated formation energy, eV/atom: -0.029

Material: Th8Tc3GeTe4
Method: DFT, PBE-GGA
State: optimized geometry

a b c (Å): 9.055 9.055 9.055
angles (deg): 56.05 56.05 56.05
Element x y z (fractional)
Th 0.217 0.742 0.742
Th 0.235 0.235 0.235
Th 0.258 0.258 0.783
Th 0.258 0.783 0.258
Th 0.742 0.217 0.742
Th 0.742 0.742 0.217
Th 0.765 0.765 0.765
Th 0.783 0.258 0.258
Tc 0.000 0.000 0.500
Tc 0.000 0.500 0.000
Tc 0.500 0.000 0.000
Ge 0.500 0.500 0.500
Te 0.000 0.000 0.000
Te 0.000 0.500 0.500
Te 0.500 0.000 0.500
Te 0.500 0.500 0.000

Formation energy without anion corrections, meV per atom: -701

Material: YbF
Method: DFT, PBE-GGA
State: optimized geometry

a b c (Å): 3.935 3.935 6.572
angles (deg): 90.00 90.00 120.00
Element x y z (fractional)
Yb 0.333 0.667 0.000
Yb 0.667 0.333 0.500
F 0.333 0.667 0.639
F 0.667 0.333 0.139

Formation energy without anion corrections, meV per atom: -2544

Material: CeLuRh4
Method: DFT, PBE-GGA
State: optimized geometry

a b c (Å): 5.328 5.328 5.328
angles (deg): 60.00 60.00 60.00
Element x y z (fractional)
Ce 0.000 0.000 0.000
Lu 0.250 0.250 0.250
Rh 0.126 0.625 0.625
Rh 0.625 0.126 0.625
Rh 0.625 0.625 0.126
Rh 0.625 0.625 0.625

Calculated formation energy, eV/atom: -0.721

Material: Dy2Ni7Ge
Method: DFT, PBE-GGA
State: optimized geometry

a b c (Å): 3.783 3.783 10.444
angles (deg): 90.00 90.00 90.00
Element x y z (fractional)
Dy 0.000 0.500 0.234
Dy 0.500 0.000 0.766
Ni 0.000 0.000 0.000
Ni 0.000 0.500 0.640
Ni 0.000 0.500 0.860
Ni 0.500 0.000 0.140
Ni 0.500 0.000 0.360
Ni 0.500 0.500 0.000
Ni 0.500 0.500 0.500
Ge 0.000 0.000 0.500

Calculated formation energy, eV/atom: -0.307

Material: Bi2PdS4
Method: DFT, PBE-GGA
State: optimized geometry

a b c (Å): 12.806 12.806 12.806
angles (deg): 17.83 17.83 17.83
Element x y z (fractional)
Bi 0.085 0.085 0.085
Bi 0.915 0.915 0.915
Pd 0.500 0.500 0.500
S 0.197 0.197 0.197
S 0.379 0.379 0.379
S 0.621 0.621 0.621
S 0.803 0.803 0.803

Formation energy without anion corrections, meV per atom: -210